Here is a relaxed MnFeHgRu2 crystal from the Alexandria database. Energies are from PBE-GGA.

Lattice parameters (Å, degrees): 4.957 4.957 4.653 90.00 90.00 90.00
Positions (direct):
Mn (0.000, 0.000, 0.000)
Fe (0.500, 0.500, 0.000)
Hg (0.500, 0.500, 0.500)
Ru (0.000, 0.500, 0.500)
Ru (0.500, 0.000, 0.500)

Properties
Symmetry: P4/mmm, No. 123
VASP energy (eV/atom): -4.90
Calculated density (g cm⁻³): 7.5
Fermi-level density of states (states/eV/atom): 2.40



Here is a relaxed Tb5Ho3N8 crystal from the Alexandria database. Energies are from PBE-GGA.

Lattice parameters (Å, degrees): 6.962 6.962 6.962 59.99 59.99 59.99
Positions (direct):
Tb (0.000, 0.000, 0.000)
Tb (0.000, 0.500, 0.500)
Tb (0.500, 0.000, 0.500)
Tb (0.500, 0.500, 0.000)
Tb (0.500, 0.500, 0.500)
Ho (0.000, 0.000, 0.500)
Ho (0.000, 0.500, 0.000)
Ho (0.500, 0.000, 0.000)
N (0.248, 0.750, 0.750)
N (0.249, 0.249, 0.249)
N (0.250, 0.250, 0.752)
N (0.250, 0.752, 0.250)
N (0.750, 0.248, 0.750)
N (0.750, 0.750, 0.248)
N (0.751, 0.751, 0.751)
N (0.752, 0.250, 0.250)

Properties
Symmetry: R-3m, No. 166
VASP energy (eV/atom): -8.16
Calculated density (g cm⁻³): 9.8
Fermi-level density of states (states/eV/atom): 0.04
ΔE_f (raw) (eV/atom): -1.692



Here is a relaxed BaSbAu2I crystal from the Alexandria database. Energies are from PBE-GGA.

Lattice parameters (Å, degrees): 5.910 5.910 7.155 90.00 90.00 90.00
Positions (direct):
Ba (0.000, 0.000, 0.000)
Sb (0.000, 0.000, 0.500)
Au (0.000, 0.500, 0.000)
Au (0.500, 0.000, 0.000)
I (0.500, 0.500, 0.500)

Properties
Symmetry: P4/mmm, No. 123
VASP energy (eV/atom): -2.20
Calculated density (g cm⁻³): 5.2
Fermi-level density of states (states/eV/atom): 1.04
ΔE_f (raw) (eV/atom): 0.632



Here is a relaxed Mg7Sc3Cd crystal from the Alexandria database. Energies are from PBE-GGA.

Lattice parameters (Å, degrees): 13.362 13.362 13.125 90.00 90.00 166.51
Positions (direct):
Mg (0.042, 0.958, 0.569)
Mg (0.042, 0.958, 0.931)
Mg (0.101, 0.899, 0.129)
Mg (0.101, 0.899, 0.371)
Mg (0.101, 0.899, 0.750)
Mg (0.222, 0.778, 0.095)
Mg (0.222, 0.778, 0.405)
Mg (0.778, 0.222, 0.595)
Mg (0.778, 0.222, 0.905)
Mg (0.899, 0.101, 0.250)
Mg (0.899, 0.101, 0.629)
Mg (0.899, 0.101, 0.871)
Mg (0.958, 0.042, 0.069)
Mg (0.958, 0.042, 0.431)
Sc (0.210, 0.790, 0.750)
Sc (0.347, 0.653, 0.066)
Sc (0.347, 0.653, 0.434)
Sc (0.653, 0.347, 0.566)
Sc (0.653, 0.347, 0.934)
Sc (0.790, 0.210, 0.250)
Cd (0.488, 0.512, 0.750)
Cd (0.512, 0.488, 0.250)

Properties
Symmetry: Cmcm, No. 63
VASP energy (eV/atom): -2.75
Calculated density (g cm⁻³): 2.5
Fermi-level density of states (states/eV/atom): 0.74



Here is a relaxed LiTbZrIr crystal from the Alexandria database. Energies are from PBE-GGA.

Lattice parameters (Å, degrees): 4.803 4.803 4.803 60.00 60.00 60.00
Positions (direct):
Li (0.000, 0.000, 0.000)
Tb (0.750, 0.750, 0.750)
Zr (0.250, 0.250, 0.250)
Ir (0.500, 0.500, 0.500)

Properties
Symmetry: F-43m, No. 216
VASP energy (eV/atom): -6.44
Calculated density (g cm⁻³): 9.5
Fermi-level density of states (states/eV/atom): 0.91



Here is a relaxed Sc2AlSb crystal from the Alexandria database. Energies are from PBE-GGA.

Lattice parameters (Å, degrees): 4.977 4.977 4.977 60.00 60.00 60.00
Positions (direct):
Sc (0.250, 0.250, 0.250)
Sc (0.750, 0.750, 0.750)
Al (0.000, 0.000, 0.000)
Sb (0.500, 0.500, 0.500)

Properties
Symmetry: Fm-3m, No. 225
Offset from the most stable computed form (meV/atom): 220
VASP energy (eV/atom): -5.53
Calculated density (g cm⁻³): 4.5
Fermi-level density of states (states/eV/atom): 0.94
ΔE_f (raw) (eV/atom): -0.396